Density functional theory data (PBE) for a relaxed structure of KTa4Sb.

Geometry as POSCAR:
```
KTa4Sb
1.0
0.0000 4.0588 4.0588
4.0588 0.0000 4.0588
4.0588 4.0588 0.0000
Sb Ta K
1 4 1
Direct
0.0000 0.0000 0.0000
0.8598 0.3801 0.3801
0.3801 0.8598 0.3801
0.3801 0.3801 0.3801
0.3801 0.3801 0.8598
0.7500 0.7500 0.7500
```

For the total energy, the calculation gives -47.02 eV/f.u. The uncorrected formation energy comes out at 0.93 eV/atom.

***

Density functional theory data (PBE) for a relaxed structure of KTa3Sb.

Geometry as POSCAR:
```
KTa3Sb
1.0
5.1960 0.0000 0.0000
0.0000 5.1960 0.0000
0.0000 0.0000 5.1960
Sb Ta K
1 3 1
Direct
0.0000 0.0000 0.0000
0.5000 0.0000 0.0000
0.0000 0.0000 0.5000
0.0000 0.5000 0.0000
0.5000 0.5000 0.5000
```

For the total energy, the calculation gives -31.12 eV/f.u. The distance to the lowest polymorph of the same formula is 0.0 meV per atom. The uncorrected formation energy comes out at 1.93 eV/atom.

***

Density functional theory data (PBE) for a relaxed structure of KTaSb3.

Geometry as POSCAR:
```
KTaSb3
1.0
-0.6968 -1.0098 5.3337
1.0036 -5.3087 -0.8740
5.3349 0.8667 0.8611
Sb K Ta
3 1 1
Direct
0.0000 0.5000 0.0000
0.5000 0.0000 0.0000
0.0000 0.0000 0.5000
0.0000 0.0000 0.0000
0.5000 0.5000 0.5000
```

For the total energy, the calculation gives -14.72 eV/f.u. The distance to the lowest polymorph of the same formula is 2088.0 meV per atom. The uncorrected formation energy comes out at 2.12 eV/atom.

***

Density functional theory data (PBE) for a relaxed structure of KTaSb4.

Geometry as POSCAR:
```
KTaSb4
1.0
0.0000 4.4401 4.4401
4.4401 0.0000 4.4401
4.4401 4.4401 0.0000
Sb K Ta
4 1 1
Direct
0.3765 0.3765 0.8705
0.8705 0.3765 0.3765
0.3765 0.3765 0.3765
0.3765 0.8705 0.3765
0.0000 0.0000 0.0000
0.7500 0.7500 0.7500
```

For the total energy, the calculation gives -25.25 eV/f.u. The uncorrected formation energy comes out at 0.70 eV/atom.

***

Density functional theory data (PBE) for a relaxed structure of K3TaSb.

Geometry as POSCAR:
```
K3TaSb
1.0
-4.6088 -1.7582 -4.2049
-3.9572 -1.4233 4.9324
-2.2613 6.0743 -0.0614
K Sb Ta
3 1 1
Direct
0.0000 0.0000 0.5000
0.5000 0.0000 0.0000
0.0000 0.5000 0.0000
0.5000 0.5000 0.5000
0.0000 0.0000 0.0000
```

For the total energy, the calculation gives -12.25 eV/f.u. The uncorrected formation energy comes out at 1.40 eV/atom.

***

Density functional theory data (PBE) for a relaxed structure of KTaSbTe2.

Geometry as POSCAR:
```
KTaSbTe2
1.0
-1.8258 0.7134 5.1615
-1.6034 -5.2808 0.1627
4.9183 -1.4337 1.9379
Ta Te K Sb
1 2 1 1
Direct
0.0000 0.0000 0.0000
0.0000 0.5000 0.0000
0.5000 0.0000 0.0000
0.5000 0.5000 0.5000
0.0000 0.0000 0.5000
```

For the total energy, the calculation gives -24.27 eV/f.u. The distance to the lowest polymorph of the same formula is 0.0 meV per atom. The uncorrected formation energy comes out at -0.18 eV/atom.